(1)
Below is crystalline Ac5InGe3 at its relaxed geometry, with properties calculated at the PBE level.

Calculated values
Formation energy from the elements: -0.305 eV/atom
Density: 7.065 g cm⁻³
Space group: C2/m

Unit cell a=8.3578 b=8.3578 c=10.6086 alpha=78.08 beta=78.08 gamma=74.61
Closest atoms and distances in Å follow each position.
Sites, in units of the cell vectors:
Ac  0.9889  0.3691  0.3579  3 Ge 3.13-3.27
Ac  0.3031  0.6969  0.0000  3 Ge 3.07-3.16
Ac  0.7605  0.7605  0.0836  2 Ge 3.08-3.09
Ac  0.4801  0.4801  0.3363  3 Ge 3.10-3.45
Ac  0.5199  0.5199  0.6637  3 Ge 3.10-3.45
Ac  0.2395  0.2395  0.9164  2 Ge 3.08-3.09
Ac  0.3691  0.9889  0.3579  3 Ge 3.13-3.27
Ac  0.6969  0.3031  0.0000  3 Ge 3.07-3.16
Ac  0.0111  0.6309  0.6421  3 Ge 3.13-3.27
Ac  0.6309  0.0111  0.6421  3 Ge 3.13-3.27
In  0.0692  0.0692  0.7180  3 Ge 2.70-2.89
In  0.9308  0.9308  0.2820  3 Ge 2.70-2.89
Ge  0.6715  0.6715  0.8418  6 Ac 3.09-3.16
Ge  0.7140  0.7140  0.4201  1 In 2.87, 1 Ac 3.14
Ge  0.0000  0.0000  0.0000  2 In 2.89, 4 Ac 3.07-3.08
Ge  0.0000  0.0000  0.5000  2 In 2.70
Ge  0.3285  0.3285  0.1582  6 Ac 3.09-3.16
Ge  0.2860  0.2860  0.5799  1 In 2.87, 1 Ac 3.14

---

(2)
Below is crystalline Ac3In5Ge12 at its relaxed geometry, with properties calculated at the PBE level.

Calculated values
Formation energy from the elements: 0.186 eV/atom
Density: 4.752 g cm⁻³
Space group: Ia-3d

Unit cell a=15.6891 b=15.6891 c=15.6891 alpha=109.47 beta=109.47 gamma=109.47
Closest atoms and distances in Å follow each position.
Sites, in units of the cell vectors:
Ac  0.7500  0.3750  0.1250  8 Ge 3.19-3.21
Ac  0.8750  0.7500  0.1250  8 Ge 3.19-3.21
Ac  0.3750  0.7500  0.6250  8 Ge 3.19-3.21
Ac  0.2500  0.1250  0.3750  8 Ge 3.19-3.21
Ac  0.8750  0.1250  0.2500  8 Ge 3.19-3.21
Ac  0.3750  0.6250  0.2500  8 Ge 3.19-3.21
Ac  0.6250  0.3750  0.7500  8 Ge 3.19-3.21
Ac  0.1250  0.8750  0.7500  8 Ge 3.19-3.21
Ac  0.7500  0.8750  0.6250  8 Ge 3.19-3.21
Ac  0.6250  0.2500  0.3750  8 Ge 3.19-3.21
Ac  0.1250  0.2500  0.8750  8 Ge 3.19-3.21
Ac  0.2500  0.6250  0.8750  8 Ge 3.19-3.21
In  0.1250  0.3750  0.2500  4 Ge 3.54
In  0.0000  0.5000  0.0000  6 Ge 2.80
In  0.0000  0.0000  0.0000  6 Ge 2.80
In  0.3750  0.2500  0.1250  4 Ge 3.54
In  0.5000  0.0000  0.5000  6 Ge 2.80
In  0.5000  0.5000  0.0000  6 Ge 2.80
In  0.1250  0.7500  0.3750  4 Ge 3.54
In  0.7500  0.1250  0.8750  4 Ge 3.54
In  0.7500  0.6250  0.3750  4 Ge 3.54
In  0.3750  0.1250  0.7500  4 Ge 3.54
In  0.6250  0.8750  0.2500  4 Ge 3.54
In  0.5000  0.5000  0.5000  6 Ge 2.80
In  0.5000  0.0000  0.0000  6 Ge 2.80
In  0.0000  0.0000  0.5000  6 Ge 2.80
In  0.2500  0.3750  0.6250  4 Ge 3.54
In  0.2500  0.8750  0.1250  4 Ge 3.54
In  0.0000  0.5000  0.5000  6 Ge 2.80
In  0.8750  0.2500  0.6250  4 Ge 3.54
In  0.6250  0.7500  0.8750  4 Ge 3.54
In  0.8750  0.6250  0.7500  4 Ge 3.54
Ge  0.7086  0.1492  0.0884  2 Ge 2.67, 1 In 2.80
Ge  0.3798  0.5884  0.4392  2 Ge 2.67, 1 In 2.80
Ge  0.9116  0.3508  0.2914  2 Ge 2.67, 1 In 2.80
Ge  0.5884  0.2086  0.1492  2 Ge 2.67, 1 In 2.80
Ge  0.5594  0.7086  0.6202  2 Ge 2.67, 1 In 2.80
Ge  0.9116  0.5608  0.1202  2 Ge 2.67, 1 In 2.80
Ge  0.3798  0.7914  0.4406  2 Ge 2.67, 1 In 2.80
Ge  0.0608  0.9406  0.1492  2 Ge 2.67, 1 In 2.80
Ge  0.5608  0.9116  0.6202  2 Ge 2.67, 1 In 2.80
Ge  0.7086  0.5594  0.1202  2 Ge 2.67, 1 In 2.80
Ge  0.7914  0.4116  0.3508  2 Ge 2.67, 1 In 2.80
Ge  0.8798  0.9392  0.0884  2 Ge 2.67, 1 In 2.80
Ge  0.1492  0.7086  0.5884  2 Ge 2.67, 1 In 2.80
Ge  0.3508  0.4392  0.0594  2 Ge 2.67, 1 In 2.80
Ge  0.0594  0.9392  0.3508  2 Ge 2.67, 1 In 2.80
Ge  0.4406  0.1492  0.5608  2 Ge 2.67, 1 In 2.80
Ge  0.0594  0.1202  0.2086  2 Ge 2.67, 1 In 2.80
Ge  0.4116  0.6202  0.0608  2 Ge 2.67, 1 In 2.80
Ge  0.8798  0.9406  0.2914  2 Ge 2.67, 1 In 2.80
Ge  0.1492  0.4406  0.0608  2 Ge 2.67, 1 In 2.80
Ge  0.3508  0.9116  0.7914  2 Ge 2.67, 1 In 2.80
Ge  0.5608  0.6492  0.4406  2 Ge 2.67, 1 In 2.80
Ge  0.9392  0.8798  0.5884  2 Ge 2.67, 1 In 2.80
Ge  0.7914  0.3798  0.9406  2 Ge 2.67, 1 In 2.80
Ge  0.4392  0.3508  0.5594  2 Ge 2.67, 1 In 2.80
Ge  0.0608  0.1202  0.4116  2 Ge 2.67, 1 In 2.80
Ge  0.2086  0.6202  0.0594  2 Ge 2.67, 1 In 2.80
Ge  0.1202  0.0594  0.7086  2 Ge 2.67, 1 In 2.80
Ge  0.6492  0.0884  0.2086  2 Ge 2.67, 1 In 2.80
Ge  0.8508  0.5594  0.9392  2 Ge 2.67, 1 In 2.80
Ge  0.5884  0.3798  0.9392  2 Ge 2.67, 1 In 2.80
Ge  0.5594  0.8508  0.4392  2 Ge 2.67, 1 In 2.80
Ge  0.9406  0.8798  0.7914  2 Ge 2.67, 1 In 2.80
Ge  0.9406  0.0608  0.6492  2 Ge 2.67, 1 In 2.80
Ge  0.8508  0.2914  0.4116  2 Ge 2.67, 1 In 2.80
Ge  0.1202  0.0608  0.9116  2 Ge 2.67, 1 In 2.80
Ge  0.6492  0.5608  0.9406  2 Ge 2.67, 1 In 2.80
Ge  0.4392  0.0884  0.3798  2 Ge 2.67, 1 In 2.80
Ge  0.2914  0.4406  0.8798  2 Ge 2.67, 1 In 2.80
Ge  0.2086  0.5884  0.6492  2 Ge 2.67, 1 In 2.80
Ge  0.9392  0.0594  0.8508  2 Ge 2.67, 1 In 2.80
Ge  0.6202  0.2086  0.5594  2 Ge 2.67, 1 In 2.80
Ge  0.4116  0.7914  0.8508  2 Ge 2.67, 1 In 2.80
Ge  0.0884  0.4392  0.8798  2 Ge 2.67, 1 In 2.80
Ge  0.4406  0.2914  0.3798  2 Ge 2.67, 1 In 2.80
Ge  0.0884  0.6492  0.7086  2 Ge 2.67, 1 In 2.80
Ge  0.6202  0.4116  0.5608  2 Ge 2.67, 1 In 2.80
Ge  0.2914  0.8508  0.9116  2 Ge 2.67, 1 In 2.80

---

(3)
Below is crystalline Ac2InGe3Ir4 at its relaxed geometry, with properties calculated at the PBE level.

Calculated values
Formation energy from the elements: -0.651 eV/atom
Density: 12.578 g cm⁻³
Space group: P-4m2

Unit cell a=4.3548 b=4.3548 c=10.8295 alpha=90.00 beta=90.00 gamma=90.00
Closest atoms and distances in Å follow each position.
Sites, in units of the cell vectors:
Ac  0.5000  0.0000  0.2467  8 Ir 3.29-3.45, 6 Ge 3.36-3.50, 2 In 3.50
Ac  0.0000  0.5000  0.7533  8 Ir 3.29-3.45, 6 Ge 3.36-3.50, 2 In 3.50
In  0.5000  0.5000  0.5000  4 Ir 2.69
Ge  0.0000  0.0000  0.5000  4 Ir 2.69
Ge  0.5000  0.0000  0.8774  5 Ir 2.51-2.55
Ge  0.0000  0.5000  0.1226  5 Ir 2.51-2.55
Ir  0.5000  0.5000  0.0000  4 Ge 2.55
Ir  0.0000  0.0000  0.0000  4 Ge 2.55
Ir  0.5000  0.0000  0.6456  3 Ge 2.51-2.69, 2 In 2.69
Ir  0.0000  0.5000  0.3544  3 Ge 2.51-2.69, 2 In 2.69

---

(4)
Below is crystalline Ac2InGe4Ir3 at its relaxed geometry, with properties calculated at the PBE level.

Calculated values
Formation energy from the elements: -0.614 eV/atom
Density: 11.383 g cm⁻³
Space group: P-4m2

Unit cell a=4.4518 b=4.4518 c=10.5695 alpha=90.00 beta=90.00 gamma=90.00
Closest atoms and distances in Å follow each position.
Sites, in units of the cell vectors:
Ac  0.5000  0.0000  0.2375  8 Ge 3.36-3.37, 7 Ir 3.40-3.74, 2 In 3.56
Ac  0.0000  0.5000  0.7625  8 Ge 3.36-3.37, 7 Ir 3.40-3.74, 2 In 3.56
In  0.5000  0.5000  0.5000  4 Ge 2.73
Ge  0.5000  0.5000  0.0000  4 Ir 2.54
Ge  0.0000  0.0000  0.0000  4 Ir 2.54
Ge  0.5000  0.0000  0.6490  3 Ir 2.48-2.73, 2 In 2.73
Ge  0.0000  0.5000  0.3510  3 Ir 2.48-2.73, 2 In 2.73
Ir  0.0000  0.0000  0.5000  4 Ge 2.73
Ir  0.5000  0.0000  0.8840  5 Ge 2.48-2.54
Ir  0.0000  0.5000  0.1160  5 Ge 2.48-2.54

---

(5)
Below is crystalline AcIn2GeIr2 at its relaxed geometry, with properties calculated at the PBE level.

Calculated values
Formation energy from the elements: -0.227 eV/atom
Density: 10.821 g cm⁻³
Space group: P4/mmm

Unit cell a=4.7859 b=4.7859 c=6.1217 alpha=90.00 beta=90.00 gamma=90.00
Closest atoms and distances in Å follow each position.
Sites, in units of the cell vectors:
Ac  0.0000  0.0000  0.5000  2 Ge 3.06
In  0.5000  0.5000  0.7454  4 Ir 2.86, 2 In 3.01-3.12
In  0.5000  0.5000  0.2546  4 Ir 2.86, 2 In 3.01-3.12
Ge  0.0000  0.0000  0.0000  4 Ir 2.39
Ir  0.5000  0.0000  0.0000  2 Ge 2.39
Ir  0.0000  0.5000  0.0000  2 Ge 2.39

---

(6)
Below is crystalline Ac3La3In2Ge at its relaxed geometry, with properties calculated at the PBE level.

Calculated values
Formation energy from the elements: -0.377 eV/atom
Density: 7.464 g cm⁻³
Space group: P-62m

Unit cell a=4.2970 b=9.1484 c=9.1484 alpha=120.00 beta=90.00 gamma=90.00
Closest atoms and distances in Å follow each position.
Sites, in units of the cell vectors:
Ac  0.5000  0.7398  0.0000  2 Ge 3.21, 2 In 3.43
Ac  0.5000  0.0000  0.7398  2 Ge 3.21, 2 In 3.43
Ac  0.5000  0.2602  0.2602  2 Ge 3.21, 2 In 3.43
La  0.0000  0.6023  0.6023  4 In 3.53, 1 Ge 3.64, 6 Ac 3.80-3.85
La  0.0000  0.0000  0.3977  4 In 3.53, 1 Ge 3.64, 6 Ac 3.80-3.85
La  0.0000  0.3977  0.0000  4 In 3.53, 1 Ge 3.64, 6 Ac 3.80-3.85
In  0.5000  0.6667  0.3333  3 Ac 3.43, 6 La 3.53
In  0.5000  0.3333  0.6667  3 Ac 3.43, 6 La 3.53
Ge  0.0000  0.0000  0.0000  6 Ac 3.21

---

(7)
Below is crystalline LiAcInGe2 at its relaxed geometry, with properties calculated at the PBE level.

Calculated values
Formation energy from the elements: -0.505 eV/atom
Density: 6.902 g cm⁻³
Space group: I-4m2

Unit cell a=4.4134 b=4.4134 c=6.8540 alpha=108.78 beta=108.78 gamma=90.00
Closest atoms and distances in Å follow each position.
Sites, in units of the cell vectors:
Li  0.2500  0.7500  0.5000  4 Ge 2.81, 4 In 3.12
Ac  0.0000  0.0000  0.0000  8 Ge 3.39, 4 In 3.77, 4 Li 3.77
In  0.7500  0.2500  0.5000  4 Ge 2.81, 4 Li 3.12
Ge  0.6080  0.6080  0.2160  1 Ge 2.64, 2 In 2.81, 2 Li 2.81
Ge  0.3920  0.3920  0.7840  1 Ge 2.64, 2 In 2.81, 2 Li 2.81

---

(8)
Below is crystalline LiAcInGe at its relaxed geometry, with properties calculated at the PBE level.

Calculated values
Formation energy from the elements: -0.254 eV/atom
Density: 6.944 g cm⁻³
Space group: F-43m

Unit cell a=5.2233 b=5.2233 c=5.2233 alpha=60.00 beta=60.00 gamma=60.00
Closest atoms and distances in Å follow each position.
Sites, in units of the cell vectors:
Ac  0.2500  0.2500  0.2500  4 Ge 3.20, 4 Li 3.20
Li  0.0000  0.0000  0.0000  4 Ac 3.20, 4 In 3.20
Ge  0.5000  0.5000  0.5000  4 In 3.20, 4 Ac 3.20
In  0.7500  0.7500  0.7500  4 Li 3.20, 4 Ge 3.20